# 1
Entry from Alexandria: a geometry-optimized LaErTm4 structure (PBE-GGA).

Geometry as POSCAR:
```
LaErTm4
1.0
0.000 4.641 4.641
4.641 0.000 4.641
4.641 4.641 0.000
La Er Tm
1 1 4
Direct
0.000 0.000 0.000 La
0.750 0.750 0.750 Er
0.376 0.376 0.376 Tm
0.376 0.376 0.873 Tm
0.376 0.873 0.376 Tm
0.873 0.376 0.376 Tm
```

Values from the calculation:
* DOS(E_F): 1.9285 states/eV/atom
* electronic total energy: -4.287 eV/atom
* E above lowest polymorph: 194 meV per atom
* calculated formation energy: 0.28 eV per atom


# 2
Entry from Alexandria: a geometry-optimized La3Er4Tm3 structure (PBE-GGA).

Geometry as POSCAR:
```
La3Er4Tm3
1.0
3.686 0.000 0.000
0.000 6.712 6.719
0.000 -6.712 6.719
La Er Tm
3 4 3
Direct
0.000 0.000 0.000 La
0.500 0.334 0.822 La
0.500 0.822 0.334 La
0.500 0.208 0.208 Er
0.500 0.451 0.451 Er
0.500 0.696 0.945 Er
0.500 0.945 0.696 Er
0.000 0.156 0.499 Tm
0.000 0.499 0.156 Tm
0.000 0.652 0.652 Tm
```

Values from the calculation:
* DOS(E_F): 1.3255 states/eV/atom
* electronic total energy: -4.561 eV/atom
* calculated formation energy: 0.08 eV per atom


# 3
Entry from Alexandria: a geometry-optimized La3Er7Tm structure (PBE-GGA).

Geometry as POSCAR:
```
La3Er7Tm
1.0
7.047 0.000 0.000
-3.523 6.102 0.000
0.000 0.000 8.722
La Er Tm
3 7 1
Direct
0.000 0.500 0.000 La
0.500 0.000 0.000 La
0.500 0.500 0.000 La
0.167 0.335 0.659 Er
0.167 0.833 0.659 Er
0.335 0.167 0.341 Er
0.665 0.833 0.659 Er
0.667 0.333 0.659 Er
0.833 0.167 0.341 Er
0.833 0.665 0.341 Er
0.333 0.667 0.341 Tm
```

Values from the calculation:
* DOS(E_F): 1.5811 states/eV/atom
* electronic total energy: -4.480 eV/atom
* E above lowest polymorph: 51 meV per atom
* calculated formation energy: 0.17 eV per atom


# 4
Entry from Alexandria: a geometry-optimized La7ErTm12 structure (PBE-GGA).

Geometry as POSCAR:
```
La7ErTm12
1.0
-5.638 5.638 5.638
5.638 -5.638 5.638
5.638 5.638 -5.638
La Er Tm
7 1 12
Direct
0.000 0.000 0.500 La
0.000 0.500 0.000 La
0.000 0.500 0.500 La
0.500 0.000 0.000 La
0.500 0.000 0.500 La
0.500 0.500 0.000 La
0.500 0.500 0.500 La
0.000 0.000 0.000 Er
0.000 0.244 0.756 Tm
0.000 0.756 0.244 Tm
0.244 0.000 0.756 Tm
0.244 0.244 0.487 Tm
0.244 0.487 0.244 Tm
0.244 0.756 0.000 Tm
0.487 0.244 0.244 Tm
0.513 0.756 0.756 Tm
0.756 0.000 0.244 Tm
0.756 0.244 0.000 Tm
0.756 0.513 0.756 Tm
0.756 0.756 0.513 Tm
```

Values from the calculation:
* DOS(E_F): 1.5188 states/eV/atom
* electronic total energy: -3.983 eV/atom
* calculated formation energy: 0.65 eV per atom


# 5
Entry from Alexandria: a geometry-optimized La2ErTm structure (PBE-GGA).

Geometry as POSCAR:
```
La2ErTm
1.0
3.746 -6.226 0.000
3.746 6.226 0.000
0.000 0.000 5.825
La Er Tm
4 2 2
Direct
0.090 0.410 0.250 La
0.410 0.090 0.750 La
0.590 0.910 0.250 La
0.910 0.590 0.750 La
0.087 0.913 0.250 Er
0.913 0.087 0.750 Er
0.413 0.587 0.750 Tm
0.587 0.413 0.250 Tm
```

Values from the calculation:
* DOS(E_F): 1.6817 states/eV/atom
* electronic total energy: -4.692 eV/atom
* E above lowest polymorph: 14 meV per atom
* calculated formation energy: 0.03 eV per atom


# 6
Entry from Alexandria: a geometry-optimized LaEr6Tm3 structure (PBE-GGA).

Geometry as POSCAR:
```
LaEr6Tm3
1.0
4.697 -7.598 0.000
4.697 7.598 0.000
0.000 0.000 8.867
La Er Tm
2 12 6
Direct
0.225 0.775 0.500 La
0.775 0.225 0.000 La
0.052 0.948 0.272 Er
0.174 0.472 0.762 Er
0.191 0.308 0.090 Er
0.286 0.714 0.132 Er
0.308 0.191 0.590 Er
0.472 0.174 0.262 Er
0.528 0.826 0.762 Er
0.692 0.809 0.090 Er
0.714 0.286 0.632 Er
0.809 0.692 0.590 Er
0.826 0.528 0.262 Er
0.948 0.052 0.772 Er
0.032 0.313 0.419 Tm
0.313 0.032 0.919 Tm
0.452 0.548 0.400 Tm
0.548 0.452 0.900 Tm
0.687 0.968 0.419 Tm
0.968 0.687 0.919 Tm
```

Values from the calculation:
* DOS(E_F): 1.2573 states/eV/atom
* electronic total energy: -4.438 eV/atom
* E above lowest polymorph: 0 meV per atom
* calculated formation energy: 0.13 eV per atom


# 7
Entry from Alexandria: a geometry-optimized LaEr3Tm8 structure (PBE-GGA).

Geometry as POSCAR:
```
LaEr3Tm8
1.0
-5.386 5.578 3.107
5.386 -5.578 3.107
5.386 5.578 -3.107
La Er Tm
1 3 8
Direct
0.000 0.000 0.000 La
0.084 0.336 0.748 Er
0.502 0.002 0.500 Er
0.588 0.336 0.252 Er
0.002 0.337 0.335 Tm
0.002 0.667 0.665 Tm
0.088 0.002 0.420 Tm
0.088 0.667 0.086 Tm
0.503 0.334 0.831 Tm
0.503 0.672 0.169 Tm
0.582 0.002 0.914 Tm
0.582 0.667 0.580 Tm
```

Values from the calculation:
* DOS(E_F): 1.7467 states/eV/atom
* electronic total energy: -4.525 eV/atom
* calculated formation energy: 0.01 eV per atom


# 8
Entry from Alexandria: a geometry-optimized La6ErTm12 structure (PBE-GGA).

Geometry as POSCAR:
```
La6ErTm12
1.0
6.631 3.828 4.205
-6.631 3.828 4.205
0.000 -7.656 4.205
La Er Tm
6 1 12
Direct
0.154 0.597 0.597 La
0.403 0.403 0.846 La
0.403 0.846 0.403 La
0.597 0.154 0.597 La
0.597 0.597 0.154 La
0.846 0.403 0.403 La
0.500 0.500 0.500 Er
0.000 0.254 0.746 Tm
0.000 0.746 0.254 Tm
0.146 0.146 0.420 Tm
0.146 0.420 0.146 Tm
0.254 0.000 0.746 Tm
0.254 0.746 0.000 Tm
0.420 0.146 0.146 Tm
0.580 0.854 0.854 Tm
0.746 0.000 0.254 Tm
0.746 0.254 0.000 Tm
0.854 0.580 0.854 Tm
0.854 0.854 0.580 Tm
```

Values from the calculation:
* DOS(E_F): 1.6583 states/eV/atom
* electronic total energy: -4.392 eV/atom
* calculated formation energy: 0.23 eV per atom


# 9
Entry from Alexandria: a geometry-optimized La2Er7Tm2 structure (PBE-GGA).

Geometry as POSCAR:
```
La2Er7Tm2
1.0
8.808 -5.747 0.000
8.808 5.747 0.000
-0.718 0.000 3.501
La Er Tm
2 7 2
Direct
0.219 0.781 0.000 La
0.781 0.219 0.000 La
0.082 0.580 0.330 Er
0.128 0.128 0.131 Er
0.420 0.918 0.670 Er
0.500 0.500 0.500 Er
0.580 0.082 0.330 Er
0.872 0.872 0.869 Er
0.918 0.420 0.670 Er
0.303 0.303 0.803 Tm
0.697 0.697 0.197 Tm
```

Values from the calculation:
* DOS(E_F): 1.3995 states/eV/atom
* electronic total energy: -4.473 eV/atom
* E above lowest polymorph: 0 meV per atom
* calculated formation energy: 0.14 eV per atom


# 10
Entry from Alexandria: a geometry-optimized LaEr12Tm6 structure (PBE-GGA).

Geometry as POSCAR:
```
LaEr12Tm6
1.0
7.400 4.272 3.366
-7.400 4.272 3.366
0.000 -8.545 3.366
La Er Tm
1 12 6
Direct
0.000 0.000 0.000 La
0.111 0.500 0.889 Er
0.111 0.889 0.500 Er
0.148 0.369 0.369 Er
0.369 0.148 0.369 Er
0.369 0.369 0.148 Er
0.500 0.111 0.889 Er
0.500 0.889 0.111 Er
0.631 0.631 0.852 Er
0.631 0.852 0.631 Er
0.852 0.631 0.631 Er
0.889 0.111 0.500 Er
0.889 0.500 0.111 Er
0.271 0.692 0.692 Tm
0.308 0.308 0.729 Tm
0.308 0.729 0.308 Tm
0.692 0.271 0.692 Tm
0.692 0.692 0.271 Tm
0.729 0.308 0.308 Tm
```

Values from the calculation:
* DOS(E_F): 1.2661 states/eV/atom
* electronic total energy: -4.127 eV/atom
* E above lowest polymorph: 265 meV per atom
* calculated formation energy: 0.43 eV per atom


# 11
Entry from Alexandria: a geometry-optimized La3Er4Tm8 structure (PBE-GGA).

Geometry as POSCAR:
```
La3Er4Tm8
1.0
6.661 -6.422 0.000
6.661 6.422 0.000
-3.349 0.000 5.792
La Er Tm
3 4 8
Direct
0.000 0.000 0.000 La
0.000 0.500 0.000 La
0.500 0.000 0.000 La
0.000 0.000 0.500 Er
0.000 0.500 0.500 Er
0.500 0.000 0.500 Er
0.500 0.500 0.000 Er
0.255 0.745 0.000 Tm
0.268 0.268 0.510 Tm
0.269 0.269 0.030 Tm
0.365 0.635 0.500 Tm
0.635 0.365 0.500 Tm
0.731 0.731 0.970 Tm
0.732 0.732 0.490 Tm
0.745 0.255 0.000 Tm
```

Values from the calculation:
* DOS(E_F): 2.0571 states/eV/atom
* electronic total energy: -4.190 eV/atom
* calculated formation energy: 0.40 eV per atom


# 12
Entry from Alexandria: a geometry-optimized La4ErTm10 structure (PBE-GGA).

Geometry as POSCAR:
```
La4ErTm10
1.0
-4.883 4.883 5.277
4.883 -4.883 5.277
4.883 4.883 -5.277
La Er Tm
4 1 10
Direct
0.069 0.664 0.732 La
0.336 0.069 0.405 La
0.664 0.931 0.595 La
0.931 0.336 0.268 La
0.000 0.000 0.000 Er
0.129 0.226 0.678 Tm
0.226 0.548 0.097 Tm
0.250 0.750 0.500 Tm
0.451 0.129 0.903 Tm
0.452 0.549 0.678 Tm
0.548 0.451 0.322 Tm
0.549 0.871 0.097 Tm
0.750 0.250 0.500 Tm
0.774 0.452 0.903 Tm
0.871 0.774 0.322 Tm
```

Values from the calculation:
* DOS(E_F): 1.5688 states/eV/atom
* electronic total energy: -4.218 eV/atom
* calculated formation energy: 0.38 eV per atom


> What is the electronic total energy in the third record?

-4.480 eV/atom


> What is the formula in the eleventh record?

La3Er4Tm8


> Which formula does entry 9 have?

La2Er7Tm2


> Look up the DOS(E_F) of the eleventh one.

2.0571 states/eV/atom